# AlGa4Au

A relaxed structure of AlGa4Au (PBE, Alexandria via LeMat-Bulk).

Cell lengths 5.3961, 5.4255, 8.2423 Å; angles 90.00, 90.00, 90.00 degrees
Positions (direct):
1 Al 0.0000 0.0000 0.0000
2 Al 0.0000 0.5000 0.5000
3 Ga 0.1949 0.1967 0.7174
4 Ga 0.1949 0.8033 0.2826
5 Ga 0.3342 0.2766 0.2016
6 Ga 0.3342 0.7234 0.7984
7 Ga 0.6658 0.2766 0.7984
8 Ga 0.6658 0.7234 0.2016
9 Ga 0.8051 0.1967 0.2826
10 Ga 0.8051 0.8033 0.7174
11 Au 0.0000 0.5000 0.0000
12 Au 0.5000 0.5000 0.5000

Values from the calculation:
Formation enthalpy at 0 K (meV per atom): 25
Crystal system: orthorhombic
ρ (g/cm3): 6.92
Total magnetic moment (μB per formula unit): 0.000